The following is a GGA-PBE calculation of a relaxed Cr2AsPt crystal, from the Alexandria database.

Unit cell a=4.476 b=4.476 c=2.725 alpha=90.00 beta=90.00 gamma=90.00
Sites, in units of the cell vectors:
Cr  0.000  0.500  0.000
Cr  0.500  0.000  0.000
As  0.000  0.000  0.500
Pt  0.500  0.500  0.500

Its mass density is 11375 kg/m3. As for the density of states at the Fermi level: 4.02 states/eV/f.u. For the total energy, the calculation gives -7.3988 eV/atom. For the formation enthalpy at 0 K, the calculation gives 85 meV/atom.

The following is a GGA-PBE calculation of a relaxed Cr3AsPt crystal, from the Alexandria database.

Unit cell a=4.848 b=4.848 c=4.848 alpha=90.00 beta=90.00 gamma=90.00
Sites, in units of the cell vectors:
Cr  0.000  0.000  0.500
Cr  0.000  0.500  0.000
Cr  0.500  0.000  0.000
As  0.500  0.500  0.500
Pt  0.000  0.000  0.000

Its mass density is 6208 kg/m3. As for the density of states at the Fermi level: 7.96 states/eV/f.u. For the total energy, the calculation gives -6.8307 eV/atom. The value obtained for the energy above the most stable polymorph in this dataset is 97.5 kJ/mol of formula units. For the formation enthalpy at 0 K, the calculation gives 1081 meV/atom.

The following is a GGA-PBE calculation of a relaxed Cr2AsPt crystal, from the Alexandria database.

Unit cell a=3.154 b=3.154 c=5.788 alpha=90.00 beta=90.00 gamma=90.00
Sites, in units of the cell vectors:
Cr  0.000  0.000  0.000
Cr  0.500  0.500  0.232
As  0.500  0.500  0.777
Pt  0.000  0.000  0.481

Its mass density is 10785 kg/m3. As for the density of states at the Fermi level: 2.88 states/eV/f.u. For the total energy, the calculation gives -7.4556 eV/atom. For the formation enthalpy at 0 K, the calculation gives 29 meV/atom.

The following is a GGA-PBE calculation of a relaxed Cr2AsPt crystal, from the Alexandria database.

Unit cell a=4.868 b=4.868 c=4.868 alpha=142.23 beta=128.36 gamma=65.73
Sites, in units of the cell vectors:
Cr  0.229  0.229  0.000
Cr  0.771  0.771  0.000
As  0.000  0.500  0.500
Pt  0.500  0.000  0.500

Its mass density is 11367 kg/m3. As for the density of states at the Fermi level: 4.09 states/eV/f.u. For the total energy, the calculation gives -7.3817 eV/atom. For the formation enthalpy at 0 K, the calculation gives 103 meV/atom.

The following is a GGA-PBE calculation of a relaxed CrAs4Pt crystal, from the Alexandria database.

Unit cell a=5.428 b=5.428 c=5.428 alpha=60.00 beta=60.00 gamma=60.00
Sites, in units of the cell vectors:
Cr  0.000  0.000  0.000
As  0.375  0.375  0.375
As  0.375  0.375  0.874
As  0.375  0.874  0.375
As  0.874  0.375  0.375
Pt  0.750  0.750  0.750

Its mass density is 8030 kg/m3. As for the density of states at the Fermi level: 4.29 states/eV/f.u. For the total energy, the calculation gives -5.0941 eV/atom. For the formation enthalpy at 0 K, the calculation gives 616 meV/atom.

The following is a GGA-PBE calculation of a relaxed Cr3AsPt crystal, from the Alexandria database.

Unit cell a=4.632 b=4.632 c=4.632 alpha=90.00 beta=90.00 gamma=90.00
Sites, in units of the cell vectors:
Cr  0.000  0.000  0.500
Cr  0.000  0.500  0.000
Cr  0.500  0.000  0.000
As  0.000  0.000  0.000
Pt  0.500  0.500  0.500

Its mass density is 7118 kg/m3. As for the density of states at the Fermi level: 5.87 states/eV/f.u. For the total energy, the calculation gives -7.0328 eV/atom. The value obtained for the energy above the most stable polymorph in this dataset is 0.0 kJ/mol of formula units. For the formation enthalpy at 0 K, the calculation gives 879 meV/atom.

The following is a GGA-PBE calculation of a relaxed Cr2AsPt crystal, from the Alexandria database.

Unit cell a=7.326 b=7.326 c=7.326 alpha=137.14 beta=137.14 gamma=62.23
Sites, in units of the cell vectors:
Cr  0.117  0.625  0.992
Cr  0.375  0.367  0.492
Cr  0.633  0.125  0.008
Cr  0.875  0.883  0.508
As  0.000  0.000  0.000
As  0.750  0.250  0.500
Pt  0.250  0.750  0.500
Pt  0.500  0.500  0.000

Its mass density is 6911 kg/m3. As for the density of states at the Fermi level: 1.64 states/eV/f.u. For the total energy, the calculation gives -6.9508 eV/atom. For the formation enthalpy at 0 K, the calculation gives 533 meV/atom.

The following is a GGA-PBE calculation of a relaxed Cr2AsPt crystal, from the Alexandria database.

Unit cell a=2.850 b=2.850 c=6.586 alpha=90.00 beta=90.00 gamma=90.00
Sites, in units of the cell vectors:
Cr  0.000  0.000  0.222
Cr  0.000  0.000  0.778
As  0.500  0.500  0.000
Pt  0.500  0.500  0.500

Its mass density is 11610 kg/m3. As for the density of states at the Fermi level: 4.29 states/eV/f.u. For the total energy, the calculation gives -7.4756 eV/atom. For the formation enthalpy at 0 K, the calculation gives 9 meV/atom.

The following is a GGA-PBE calculation of a relaxed Cr2AsPt crystal, from the Alexandria database.

Unit cell a=2.761 b=3.817 c=5.405 alpha=90.00 beta=101.13 gamma=90.00
Sites, in units of the cell vectors:
Cr  0.104  0.000  0.258
Cr  0.896  0.000  0.742
As  0.500  0.500  0.500
Pt  0.500  0.500  0.000

Its mass density is 11112 kg/m3. As for the density of states at the Fermi level: 4.52 states/eV/f.u. For the total energy, the calculation gives -7.4264 eV/atom. For the formation enthalpy at 0 K, the calculation gives 58 meV/atom.

The following is a GGA-PBE calculation of a relaxed CrAs2PtSe crystal, from the Alexandria database.

Unit cell a=4.620 b=4.620 c=4.545 alpha=90.00 beta=90.00 gamma=90.00
Sites, in units of the cell vectors:
Cr  0.000  0.000  0.000
As  0.000  0.500  0.000
As  0.500  0.000  0.000
Pt  0.500  0.500  0.500
Se  0.000  0.000  0.500

Its mass density is 8146 kg/m3. The value obtained for the energy relative to the elements, uncorrected is 0.5495 eV per atom. As for the density of states at the Fermi level: 3.08 states/eV/f.u. For the total energy, the calculation gives -5.1401 eV/atom. The value obtained for the energy above the most stable polymorph in this dataset is 0.0 kJ/mol of formula units.

The following is a GGA-PBE calculation of a relaxed CrAs2PtSe crystal, from the Alexandria database.

Unit cell a=4.505 b=4.505 c=4.953 alpha=90.00 beta=90.00 gamma=90.00
Sites, in units of the cell vectors:
Cr  0.000  0.000  0.000
As  0.000  0.500  0.000
As  0.500  0.000  0.000
Pt  0.000  0.000  0.500
Se  0.500  0.500  0.500

Its mass density is 7861 kg/m3. The value obtained for the energy relative to the elements, uncorrected is 0.6067 eV per atom. As for the density of states at the Fermi level: 5.29 states/eV/f.u. For the total energy, the calculation gives -5.0829 eV/atom. The value obtained for the energy above the most stable polymorph in this dataset is 27.6 kJ/mol of formula units.

The following is a GGA-PBE calculation of a relaxed CrSnAs2Pt crystal, from the Alexandria database.

Unit cell a=5.219 b=5.219 c=4.957 alpha=90.00 beta=90.00 gamma=90.00
Sites, in units of the cell vectors:
Cr  0.000  0.000  0.000
Sn  0.500  0.500  0.500
As  0.000  0.500  0.500
As  0.500  0.000  0.500
Pt  0.500  0.500  0.000

Its mass density is 6343 kg/m3. As for the density of states at the Fermi level: 3.18 states/eV/f.u. For the total energy, the calculation gives -4.6931 eV/atom. For the formation enthalpy at 0 K, the calculation gives 1100 meV/atom.